Entry 1:
The following is a DFT calculation (GGA-PBE) of a geometry-optimized HgSbPO2 structure.

Values from the calculation:
ΔE to the lowest computed polymorph: 0.9096 eV/atom
Formation energy (no corrections): 50.23 kJ per mole of atoms
Size of the total moment: 0.0 μB/f.u.
Density: 7.19 Mg/m³

Unit cell a=4.204 b=4.204 c=5.035 alpha=90.00 beta=90.00 gamma=90.00
Fractional positions:
Sb1 0.500 0.500 0.500
O1 0.500 0.000 0.000
P1 0.000 0.000 0.500
O2 0.000 0.500 0.000
Hg1 0.000 0.000 0.000

Entry 2:
The following is a DFT calculation (GGA-PBE) of a geometry-optimized Ca3Cl structure.

Values from the calculation:
ΔE to the lowest computed polymorph: 0.4797 eV/atom
Formation energy (no corrections): -29.42 kJ per mole of atoms
Size of the total moment: 0.0 μB/f.u.
Density: 1.70 Mg/m³

Unit cell a=7.320 b=7.320 c=6.551 alpha=90.00 beta=90.00 gamma=120.00
Fractional positions:
Ca1 0.164 0.836 0.750
Cl1 0.333 0.667 0.250
Ca2 0.672 0.836 0.750
Ca3 0.164 0.328 0.750
Ca4 0.836 0.672 0.250
Cl2 0.667 0.333 0.750
Ca5 0.836 0.164 0.250
Ca6 0.328 0.164 0.250

Entry 3:
The following is a DFT calculation (GGA-PBE) of a geometry-optimized KCoHg structure.

Values from the calculation:
ΔE to the lowest computed polymorph: 0.0500 eV/atom
Size of the total moment: 1.4 μB/f.u.
Density: 5.65 Mg/m³

Unit cell a=4.422 b=4.422 c=5.179 alpha=90.00 beta=90.00 gamma=120.00
Last column: magnetic moment on the atom in μB.
Fractional positions:
K1 0.333 0.667 0.667  -0.01
Hg1 0.667 0.333 0.167  -0.04
Co1 0.000 0.000 0.166  1.60

Entry 4:
The following is a DFT calculation (GGA-PBE) of a geometry-optimized Ac3Al4Ge2 structure.

Values from the calculation:
Size of the total moment: 0.0 μB/f.u.
Density: 6.53 Mg/m³

Unit cell a=4.404 b=6.453 c=8.969 alpha=97.02 beta=90.00 gamma=109.95
Fractional positions:
Al1 0.725 0.449 0.058
Al2 0.275 0.551 0.942
Ac1 0.333 0.666 0.334
Ac2 0.667 0.334 0.666
Ge1 0.612 0.223 0.277
Al3 0.947 0.894 0.614
Ac3 0.000 0.000 0.000
Ge2 0.388 0.777 0.723
Al4 0.053 0.106 0.386

Computed values of calculated total energy (unit: eV per formula unit) for the preceding records, in sequence: -17.1 -9.1 -6.9 -41.6.